1.
Compound: Re3SnGe
Source: the Alexandria database
Functional: PBE
Structure: relaxed

**Crystal system**: cubic
**Total magnetization**: 3.805 μB/cell
**DFT formation energy**: 2.833 eV per atom
**Uncorrected energy**: -31.80 eV/f.u.

Cell lengths 4.8939, 4.8939, 4.8939 Å; angles 90.00, 90.00, 90.00 degrees
Closest atoms and distances in Å follow each position.
Space group Pm-3m (No. 221)
Inequivalent atoms, fractional coordinates:
Re (0.0000, 0.0000, 0.5000) x3  2 Sn 2.45
Sn (0.0000, 0.0000, 0.0000) x1  6 Re 2.45
Ge (0.5000, 0.5000, 0.5000) x1  12 Re 3.46

2.
Compound: Sr2MgHg6Pb
Source: the Alexandria database
Functional: PBE
Structure: relaxed

**Crystal system**: triclinic
**Total magnetization**: 0.000 μB/cell
**DFT formation energy**: -0.303 eV per atom
**Uncorrected energy**: -13.51 eV/f.u.

Cell lengths 5.6054, 5.9297, 9.3067 Å; angles 75.27, 73.54, 77.19 degrees
Closest atoms and distances in Å follow each position.
Space group P-1 (No. 2)
Inequivalent atoms, fractional coordinates:
Sr (0.1171, 0.3869, 0.1952) x2  7 Hg 3.24-3.62, 1 Pb 3.53
Mg (0.5000, 0.5000, 0.5000) x1  6 Hg 2.92-3.17
Hg (0.0391, 0.7791, 0.4211) x2  1 Mg 2.92, 3 Hg 2.98-3.21
Hg (0.3966, 0.8832, 0.6714) x2  1 Mg 2.96, 3 Hg 2.98-3.21, 1 Sr 3.24
Hg (0.4798, 0.2504, 0.8465) x2  2 Hg 3.12-3.21, 2 Pb 3.16-3.48, 1 Mg 3.17, 1 Sr 3.33
Pb (0.0000, 0.0000, 0.0000) x1  6 Hg 3.16-3.48, 2 Sr 3.53

3.
Compound: MgHgRh
Source: the Alexandria database
Functional: PBE
Structure: relaxed

**Crystal system**: trigonal
**Total magnetization**: 0.000 μB/cell
**DFT formation energy**: -0.144 eV per atom
**Uncorrected energy**: -9.68 eV/f.u.

Cell lengths 4.4663, 4.4663, 3.0441 Å; angles 90.00, 90.00, 120.00 degrees
Closest atoms and distances in Å follow each position.
Space group P3m1 (No. 156)
Inequivalent atoms, fractional coordinates:
Mg (0.0000, 0.0000, 0.0000) x1  3 Rh 2.69, 3 Hg 2.77
Hg (0.3333, 0.6667, 0.6681) x1  3 Mg 2.77, 3 Rh 2.87, 2 Hg 3.04
Rh (0.6667, 0.3333, 0.2556) x1  3 Mg 2.69, 3 Hg 2.87

4.
Compound: NbV2HPt
Source: the Alexandria database
Functional: PBE
Structure: relaxed

**Crystal system**: tetragonal
**Total magnetization**: 0.004 μB/cell
**Uncorrected energy**: -38.59 eV/f.u.

Cell lengths 4.1565, 4.1565, 3.6498 Å; angles 90.00, 90.00, 90.00 degrees
Closest atoms and distances in Å follow each position.
Space group P4/mmm (No. 123)
Inequivalent atoms, fractional coordinates:
Nb (0.0000, 0.0000, 0.0000) x1  8 V 2.77, 4 Pt 2.94
V (0.0000, 0.5000, 0.5000) x2  2 H 2.08
H (0.5000, 0.5000, 0.5000) x1  2 Pt 1.82
Pt (0.5000, 0.5000, 0.0000) x1  2 H 1.82

5.
Compound: Mg3Cu8Ag
Source: the Alexandria database
Functional: PBE
Structure: relaxed

**Crystal system**: trigonal
**Total magnetization**: 0.000 μB/cell
**DFT formation energy**: -0.097 eV per atom
**Uncorrected energy**: -41.57 eV/f.u.

Cell lengths 4.9779, 4.9779, 8.0413 Å; angles 90.00, 90.00, 120.00 degrees
Closest atoms and distances in Å follow each position.
Space group P3m1 (No. 156)
Inequivalent atoms, fractional coordinates:
Mg (0.0000, 0.0000, 0.0000) x1  12 Cu 2.87-2.92, 4 Mg 3.07-3.09
Mg (0.0000, 0.0000, 0.3845) x1  12 Cu 2.84-2.95, 3 Ag 3.01, 1 Mg 3.09
Mg (0.3333, 0.6667, 0.8674) x1  12 Cu 2.87-2.93, 1 Ag 2.99, 3 Mg 3.07
Cu (0.0057, 0.5028, 0.1865) x3  6 Cu 2.45-2.53
Cu (0.3283, 0.1642, 0.6902) x3  6 Cu 2.45-2.53
Cu (0.6667, 0.3333, 0.4381) x1  6 Cu 2.50
Cu (0.6667, 0.3333, 0.9389) x1  6 Cu 2.47-2.48
Ag (0.3333, 0.6667, 0.4951) x1  12 Cu 2.86-2.94, 4 Mg 2.99-3.01

6.
Compound: TbHo3Tl3
Source: the Alexandria database
Functional: PBE
Structure: relaxed

**Crystal system**: hexagonal
**Total magnetization**: 0.000 μB/cell
**DFT formation energy**: -0.221 eV per atom
**Uncorrected energy**: -27.01 eV/f.u.

Cell lengths 9.3757, 9.3757, 5.2215 Å; angles 90.00, 90.00, 120.00 degrees
Closest atoms and distances in Å follow each position.
Space group P6_3/m (No. 176)
Inequivalent atoms, fractional coordinates:
Tb (0.3333, 0.6667, 0.2500) x2  9 Tl 3.39-3.46, 3 Ho 3.68
Ho (0.0024, 0.2332, 0.2500) x6  4 Tl 3.09-3.38, 4 Ho 3.40
Tl (0.0727, 0.4499, 0.7500) x6  4 Ho 3.09-3.38, 2 Tl 3.29, 3 Tb 3.39-3.46

7.
Compound: PmSmCuSb
Source: the Alexandria database
Functional: PBE
Structure: relaxed

**Crystal system**: cubic
**Formation energy from raw total energies**: -11.64 kcal/mol of atoms
**Total magnetization**: 0.001 μB/cell
**Uncorrected energy**: -19.71 eV/f.u.

Cell lengths 7.4201, 7.4201, 7.4201 Å; angles 90.00, 90.00, 90.00 degrees
Closest atoms and distances in Å follow each position.
Space group F-43m (No. 216)
Inequivalent atoms, fractional coordinates:
Pm (0.0000, 0.0000, 0.0000) x4  4 Sb 3.21, 4 Cu 3.21
Sm (0.0000, 0.0000, 0.5000) x4  4 Sb 3.21, 4 Cu 3.21
Cu (0.2500, 0.2500, 0.7500) x4  4 Pm 3.21, 4 Sm 3.21
Sb (0.2500, 0.2500, 0.2500) x4  4 Pm 3.21, 4 Sm 3.21

8.
Compound: Nd8SiTe4S3
Source: the Alexandria database
Functional: PBE
Structure: relaxed

**Crystal system**: trigonal
**Formation energy from raw total energies**: -37.03 kcal/mol of atoms
**Total magnetization**: 0.000 μB/cell
**Uncorrected energy**: -94.21 eV/f.u.

Cell lengths 8.4915, 8.4915, 21.8493 Å; angles 90.00, 90.00, 120.00 degrees
Closest atoms and distances in Å follow each position.
Space group R-3m (No. 166, hexagonal axes)
Inequivalent atoms, fractional coordinates:
Nd (0.0000, 0.0000, 0.2363) x6  3 S 2.88
Nd (0.0007, 0.5003, 0.2377) x18  1 Si 2.90, 2 S 2.90, 3 Te 3.22
Si (0.0000, 0.0000, 0.5000) x3  6 Nd 2.90
Te (0.0000, 0.0000, 0.0000) x3  6 Nd 3.22
Te (0.0000, 0.5000, 0.0000) x9  6 Nd 3.22-3.24
S (0.0000, 0.5000, 0.5000) x9  6 Nd 2.88-2.90